A plane-wave DFT calculation with GGA-PBE was carried out for an optimized crystal structure of MnMoRu2.

Summary:
E (eV per cell): -38.43

CIF file:
```
data_MnMoRu2
_cell_length_a 3.8507
_cell_length_b 3.8507
_cell_length_c 3.7657
_cell_angle_alpha 90.00
_cell_angle_beta 90.00
_cell_angle_gamma 90.00
_space_group_name_H-M_alt 'P 1'
_space_group_IT_number 1
loop_
_space_group_symop_operation_xyz
'x,y,z'
loop_
_atom_site_label
_atom_site_type_symbol
_atom_site_fract_x
_atom_site_fract_y
_atom_site_fract_z
Mn1 Mn 0.0000 0.0000 0.0000
Mo1 Mo 0.5000 0.5000 0.0000
Ru1 Ru 0.0000 0.5000 0.5000
Ru2 Ru 0.5000 0.0000 0.5000
```